No. 1
The following is a PBE calculation of Nd2NbO6 after structural relaxation, from Alexandria via LeMat-Bulk.

a b c (Å): 5.725 6.083 8.180
angles (deg): 90.00 98.44 90.00
Each line ends with the local moment (μB).
Fractional coordinates of all 18 atoms:
O1 0.327 0.591 0.783  0.19
O2 0.215 0.333 0.051  0.04
O3 0.359 0.765 0.103  0.23
O4 0.827 0.909 0.283  0.19
O5 0.641 0.235 0.897  0.23
O6 0.141 0.265 0.397  0.23
O7 0.285 0.833 0.449  0.04
O8 0.785 0.667 0.949  0.04
O9 0.673 0.409 0.217  0.19
O10 0.173 0.091 0.717  0.19
O11 0.715 0.167 0.551  0.04
O12 0.859 0.735 0.603  0.23
Nd1 0.547 0.913 0.732  -0.01
Nd2 0.047 0.587 0.232  -0.01
Nd3 0.953 0.413 0.768  -0.01
Nd4 0.453 0.087 0.268  -0.01
Nb1 0.500 0.500 0.000  -0.06
Nb2 0.000 0.000 0.500  -0.06

## Properties
- Energy relative to the elements, uncorrected: -2.7910 eV per atom

No. 2
The following is a PBE calculation of La3Ce2TaN6 after structural relaxation, from Alexandria via LeMat-Bulk.

a b c (Å): 6.090 6.090 6.222
angles (deg): 99.27 99.27 119.97
Fractional coordinates of all 12 atoms:
Ce1 0.333 0.667 0.000
Ce2 0.667 0.333 0.000
La1 0.166 0.834 0.500
La2 0.834 0.166 0.500
La3 0.500 0.500 0.500
N1 0.069 0.371 0.206
N2 0.371 0.069 0.206
N3 0.931 0.629 0.794
N4 0.629 0.931 0.794
N5 0.769 0.769 0.214
N6 0.231 0.231 0.786
Ta1 0.000 0.000 0.000

## Properties
- Energy relative to the elements, uncorrected: -1.3756 eV per atom

No. 3
The following is a PBE calculation of Cd2In5Pb4 after structural relaxation, from Alexandria via LeMat-Bulk.

a b c (Å): 3.511 8.281 10.846
angles (deg): 95.89 90.00 90.00
Fractional coordinates of all 11 atoms:
Pb1 0.500 0.291 0.443
Pb2 0.500 0.709 0.557
Pb3 0.500 0.153 0.896
Pb4 0.500 0.847 0.104
In1 0.000 0.500 0.000
In2 0.000 0.572 0.293
In3 0.000 0.798 0.830
In4 0.000 0.428 0.707
In5 0.000 0.202 0.170
Cd1 0.000 0.058 0.636
Cd2 0.000 0.942 0.364

## Properties
- Energy of formation from the pure elements: 45 kJ/mol of formula units

No. 4
The following is a PBE calculation of BaTe2RuO8 after structural relaxation, from Alexandria via LeMat-Bulk.

a b c (Å): 5.628 5.628 7.234
angles (deg): 90.00 90.00 120.00
Each line ends with the local moment (μB).
Fractional coordinates of all 12 atoms:
O1 0.333 0.667 0.912  0.00
O2 0.288 0.005 0.654  0.01
O3 0.718 0.712 0.654  0.01
O4 0.712 0.995 0.346  0.01
O5 0.995 0.282 0.654  0.01
O6 0.667 0.333 0.088  0.00
O7 0.005 0.718 0.346  0.01
O8 0.282 0.288 0.346  0.01
Te1 0.333 0.667 0.658  -0.01
Te2 0.667 0.333 0.342  -0.01
Ru1 0.000 0.000 0.500  0.39
Ba1 0.000 0.000 0.000  0.00

## Properties
- Energy relative to the elements, uncorrected: -1.2352 eV per atom

No. 5
The following is a PBE calculation of HfAlAu after structural relaxation, from Alexandria via LeMat-Bulk.

a b c (Å): 4.209 5.048 5.778
angles (deg): 100.62 111.36 90.00
Fractional coordinates of all 6 atoms:
Au1 0.422 0.227 0.844
Au2 0.578 0.773 0.156
Al1 0.224 0.830 0.448
Al2 0.776 0.170 0.552
Hf1 0.898 0.703 0.795
Hf2 0.102 0.297 0.205

## Properties
- Energy of formation from the pure elements: -97 kJ/mol of formula units

No. 6
The following is a PBE calculation of K3Cd2Au9 after structural relaxation, from Alexandria via LeMat-Bulk.

a b c (Å): 4.769 9.294 9.294
angles (deg): 73.61 75.13 75.13
Fractional coordinates of all 14 atoms:
K1 0.722 0.278 0.278
K2 0.000 0.000 0.000
K3 0.278 0.722 0.722
Au1 0.304 0.974 0.418
Au2 0.696 0.026 0.582
Au3 0.896 0.824 0.384
Au4 0.304 0.418 0.974
Au5 0.104 0.176 0.616
Au6 0.000 0.500 0.500
Au7 0.696 0.582 0.026
Au8 0.896 0.384 0.824
Au9 0.104 0.616 0.176
Cd1 0.500 0.684 0.316
Cd2 0.500 0.316 0.684

## Properties
- Energy of formation from the pure elements: -301 kJ/mol of formula units

No. 7
The following is a PBE calculation of MgBrCl after structural relaxation, from Alexandria via LeMat-Bulk.

a b c (Å): 3.780 3.780 6.839
angles (deg): 90.00 90.00 120.00
Fractional coordinates of all 3 atoms:
Br1 0.333 0.667 0.550
Mg1 0.667 0.333 0.777
Cl1 0.000 0.000 0.971

## Properties
- Energy relative to the elements, uncorrected: -1.6617 eV per atom
- Offset from the most stable computed form: 7 meV/atom

No. 8
The following is a PBE calculation of SbTe2Os after structural relaxation, from Alexandria via LeMat-Bulk.

a b c (Å): 6.795 6.795 6.795
angles (deg): 152.21 136.96 52.00
Fractional coordinates of all 4 atoms:
Os1 0.493 0.493 0.000
Te1 0.318 0.818 0.500
Te2 0.013 0.013 0.000
Sb1 0.676 0.176 0.500

## Properties
- Energy relative to the elements, uncorrected: 0.3809 eV per atom

No. 9
The following is a PBE calculation of LiTmIrRu after structural relaxation, from Alexandria via LeMat-Bulk.

a b c (Å): 4.512 4.512 4.512
angles (deg): 60.00 60.00 60.00
Each line ends with the local moment (μB).
Fractional coordinates of all 4 atoms:
Li1 0.750 0.750 0.750  -0.01
Ir1 0.000 0.000 0.000  0.28
Ru1 0.250 0.250 0.250  0.49
Tm1 0.500 0.500 0.500  -0.01

## Properties
- Energy of formation from the pure elements: -55 kJ/mol of formula units

No. 10
The following is a PBE calculation of Tl2SiPb after structural relaxation, from Alexandria via LeMat-Bulk.

a b c (Å): 6.300 6.300 3.402
angles (deg): 79.69 79.69 119.73
Fractional coordinates of all 4 atoms:
Tl1 0.000 0.000 0.000
Tl2 0.500 0.500 0.000
Pb1 0.500 0.000 0.500
Si1 0.000 0.500 0.500

## Properties
- Energy relative to the elements, uncorrected: 0.3801 eV per atom
- Offset from the most stable computed form: 109 meV/atom

No. 11
The following is a PBE calculation of HfAlGa2 after structural relaxation, from Alexandria via LeMat-Bulk.

a b c (Å): 5.469 5.800 5.800
angles (deg): 119.54 102.81 102.81
Fractional coordinates of all 8 atoms:
Ga1 0.799 0.418 0.062
Ga2 0.299 0.062 0.418
Ga3 0.201 0.582 0.938
Ga4 0.701 0.938 0.582
Al1 0.250 0.531 0.469
Al2 0.750 0.469 0.531
Hf1 0.250 0.089 0.911
Hf2 0.750 0.911 0.089

## Properties
- Energy of formation from the pure elements: -77 kJ/mol of formula units

No. 12
The following is a PBE calculation of PuAlZnGa after structural relaxation, from Alexandria via LeMat-Bulk.

a b c (Å): 4.758 4.758 4.758
angles (deg): 60.00 60.00 60.00
Each line ends with the local moment (μB).
Fractional coordinates of all 4 atoms:
Zn1 0.750 0.750 0.750  0.02
Al1 0.500 0.500 0.500  -0.02
Pu1 0.000 0.000 0.000  5.24
Ga1 0.250 0.250 0.250  0.03

## Properties
- Energy of formation from the pure elements: -73 kJ/mol of formula units

no.,calculated volume (Å³ per cell)
1,281.8
2,189.2
3,313.7
4,198.4
5,112.1
6,374.4
7,84.7
8,99.3
9,64.9
10,109.5
11,143.7
12,76.1